Record 1
First-principles (PBE) data for a geometry-optimized RbTbZn2F8 structure, as listed in Alexandria via LeMat-Bulk.

Cell and atoms, written as CIF:
```
data_RbTbZn2F8
_cell_length_a 9.268
_cell_length_b 9.268
_cell_length_c 9.268
_cell_angle_alpha 33.59
_cell_angle_beta 33.59
_cell_angle_gamma 33.59
_symmetry_space_group_name_H-M 'P 1'
_symmetry_Int_Tables_number 1
loop_
_symmetry_equiv_pos_as_xyz
'x,y,z'
loop_
_atom_site_label
_atom_site_type_symbol
_atom_site_fract_x
_atom_site_fract_y
_atom_site_fract_z
Rb1 Rb 0.000 0.000 0.000
Tb1 Tb 0.500 0.500 0.500
Zn1 Zn 0.252 0.252 0.252
Zn2 Zn 0.748 0.748 0.748
F1 F 0.119 0.462 0.758
F2 F 0.242 0.538 0.881
F3 F 0.323 0.323 0.323
F4 F 0.462 0.758 0.119
F5 F 0.538 0.881 0.242
F6 F 0.677 0.677 0.677
F7 F 0.758 0.119 0.462
F8 F 0.881 0.242 0.538
```

Results
DFT total energy in eV per formula unit: -58.14
M_tot in μB/atom: 0.01
ρ in g/cm³: 4.0
Symmetry: R32, No. 155
Uncorrected formation energy in eV per atom: -2.92

***

Record 2
First-principles (PBE) data for a geometry-optimized TbSm10Ho6 structure, as listed in Alexandria via LeMat-Bulk.

Cell and atoms, written as CIF:
```
data_TbSm10Ho6
_cell_length_a 9.750
_cell_length_b 9.750
_cell_length_c 6.860
_cell_angle_alpha 90.00
_cell_angle_beta 90.00
_cell_angle_gamma 120.00
_symmetry_space_group_name_H-M 'P 1'
_symmetry_Int_Tables_number 1
loop_
_symmetry_equiv_pos_as_xyz
'x,y,z'
loop_
_atom_site_label
_atom_site_type_symbol
_atom_site_fract_x
_atom_site_fract_y
_atom_site_fract_z
Tb1 Tb 0.000 0.000 0.000
Sm1 Sm 0.000 0.275 0.315
Sm2 Sm 0.000 0.725 0.685
Sm3 Sm 0.275 0.000 0.315
Sm4 Sm 0.275 0.275 0.685
Sm5 Sm 0.333 0.667 0.000
Sm6 Sm 0.333 0.667 0.500
Sm7 Sm 0.667 0.333 0.000
Sm8 Sm 0.667 0.333 0.500
Sm9 Sm 0.725 0.000 0.685
Sm10 Sm 0.725 0.725 0.315
Ho1 Ho 0.000 0.373 0.806
Ho2 Ho 0.000 0.627 0.194
Ho3 Ho 0.373 0.000 0.806
Ho4 Ho 0.373 0.373 0.194
Ho5 Ho 0.627 0.000 0.194
Ho6 Ho 0.627 0.627 0.806
```

Results
DFT total energy in eV per formula unit: -77.11
M_tot in μB/atom: 0.00
ρ in g/cm³: 7.8
Symmetry: P-31m, No. 162
ΔH_f (0 K) in eV per atom: 0.1280

***

Record 3
First-principles (PBE) data for a geometry-optimized DySc5Pd6 structure, as listed in Alexandria via LeMat-Bulk.

Cell and atoms, written as CIF:
```
data_DySc5Pd6
_cell_length_a 4.781
_cell_length_b 6.556
_cell_length_c 7.555
_cell_angle_alpha 90.00
_cell_angle_beta 108.36
_cell_angle_gamma 90.00
_symmetry_space_group_name_H-M 'P 1'
_symmetry_Int_Tables_number 1
loop_
_symmetry_equiv_pos_as_xyz
'x,y,z'
loop_
_atom_site_label
_atom_site_type_symbol
_atom_site_fract_x
_atom_site_fract_y
_atom_site_fract_z
Dy1 Dy 0.000 0.000 0.000
Sc1 Sc 0.000 0.500 0.000
Sc2 Sc 0.332 0.000 0.663
Sc3 Sc 0.334 0.500 0.668
Sc4 Sc 0.666 0.500 0.332
Sc5 Sc 0.668 0.000 0.337
Pd1 Pd 0.171 0.255 0.344
Pd2 Pd 0.171 0.745 0.344
Pd3 Pd 0.500 0.261 0.000
Pd4 Pd 0.500 0.739 0.000
Pd5 Pd 0.829 0.255 0.656
Pd6 Pd 0.829 0.745 0.656
```

Results
DFT total energy in eV per formula unit: -78.06
M_tot in μB/atom: 0.00
ρ in g/cm³: 7.6
Symmetry: P2/m, No. 10
ΔH_f (0 K) in eV per atom: -0.8869

***

Record 4
First-principles (PBE) data for a geometry-optimized RbNb2Se structure, as listed in Alexandria via LeMat-Bulk.

Cell and atoms, written as CIF:
```
data_RbNb2Se
_cell_length_a 10.322
_cell_length_b 10.322
_cell_length_c 10.322
_cell_angle_alpha 152.84
_cell_angle_beta 152.84
_cell_angle_gamma 38.79
_symmetry_space_group_name_H-M 'P 1'
_symmetry_Int_Tables_number 1
loop_
_symmetry_equiv_pos_as_xyz
'x,y,z'
loop_
_atom_site_label
_atom_site_type_symbol
_atom_site_fract_x
_atom_site_fract_y
_atom_site_fract_z
Rb1 Rb 0.000 0.000 0.000
Rb2 Rb 0.750 0.250 0.500
Nb1 Nb 0.319 0.625 0.194
Nb2 Nb 0.375 0.569 0.694
Nb3 Nb 0.431 0.125 0.806
Nb4 Nb 0.875 0.681 0.306
Se1 Se 0.250 0.750 0.500
Se2 Se 0.500 0.500 0.000
```

Results
DFT total energy in eV per formula unit: -21.93
M_tot in μB/atom: 0.00
ρ in g/cm³: 5.1
Symmetry: I-42d, No. 122
Uncorrected formation energy in eV per atom: 0.67

***

Record 5
First-principles (PBE) data for a geometry-optimized Tm4Cd2Pb structure, as listed in Alexandria via LeMat-Bulk.

Cell and atoms, written as CIF:
```
data_Tm4Cd2Pb
_cell_length_a 9.006
_cell_length_b 9.006
_cell_length_c 9.006
_cell_angle_alpha 33.44
_cell_angle_beta 33.44
_cell_angle_gamma 33.44
_symmetry_space_group_name_H-M 'P 1'
_symmetry_Int_Tables_number 1
loop_
_symmetry_equiv_pos_as_xyz
'x,y,z'
loop_
_atom_site_label
_atom_site_type_symbol
_atom_site_fract_x
_atom_site_fract_y
_atom_site_fract_z
Tm1 Tm 0.117 0.117 0.117
Tm2 Tm 0.370 0.370 0.370
Tm3 Tm 0.630 0.630 0.630
Tm4 Tm 0.883 0.883 0.883
Cd1 Cd 0.251 0.251 0.251
Cd2 Cd 0.749 0.749 0.749
Pb1 Pb 0.500 0.500 0.500
```

Results
DFT total energy in eV per formula unit: -24.43
M_tot in μB/atom: 0.00
ρ in g/cm³: 9.3
Symmetry: R-3m, No. 166
ΔH_f (0 K) in eV per atom: -0.1433

***

Record 6
First-principles (PBE) data for a geometry-optimized Ba2MgInH structure, as listed in Alexandria via LeMat-Bulk.

Cell and atoms, written as CIF:
```
data_Ba2MgInH
_cell_length_a 7.717
_cell_length_b 4.960
_cell_length_c 8.650
_cell_angle_alpha 90.00
_cell_angle_beta 107.43
_cell_angle_gamma 90.00
_symmetry_space_group_name_H-M 'P 1'
_symmetry_Int_Tables_number 1
loop_
_symmetry_equiv_pos_as_xyz
'x,y,z'
loop_
_atom_site_label
_atom_site_type_symbol
_atom_site_fract_x
_atom_site_fract_y
_atom_site_fract_z
Ba1 Ba 0.136 0.250 0.374
Ba2 Ba 0.255 0.250 0.946
Ba3 Ba 0.745 0.750 0.054
Ba4 Ba 0.864 0.750 0.626
Mg1 Mg 0.433 0.750 0.335
Mg2 Mg 0.567 0.250 0.665
In1 In 0.362 0.750 0.682
In2 In 0.638 0.250 0.318
H1 H 0.158 0.750 0.192
H2 H 0.842 0.250 0.808
```

Results
DFT total energy in eV per formula unit: -12.93
M_tot in μB/atom: 0.00
ρ in g/cm³: 4.4
Symmetry: P2_1/m, No. 11
Energy above the most stable polymorph in this dataset in eV/atom: 0.0000

***

Record 7
First-principles (PBE) data for a geometry-optimized Sm2Er2Cd15 structure, as listed in Alexandria via LeMat-Bulk.

Cell and atoms, written as CIF:
```
data_Sm2Er2Cd15
_cell_length_a 7.866
_cell_length_b 7.866
_cell_length_c 7.866
_cell_angle_alpha 79.16
_cell_angle_beta 79.16
_cell_angle_gamma 79.16
_symmetry_space_group_name_H-M 'P 1'
_symmetry_Int_Tables_number 1
loop_
_symmetry_equiv_pos_as_xyz
'x,y,z'
loop_
_atom_site_label
_atom_site_type_symbol
_atom_site_fract_x
_atom_site_fract_y
_atom_site_fract_z
Sm1 Sm 0.177 0.177 0.177
Sm2 Sm 0.823 0.823 0.823
Er1 Er 0.402 0.402 0.402
Er2 Er 0.598 0.598 0.598
Cd1 Cd 0.000 0.500 0.500
Cd2 Cd 0.128 0.128 0.650
Cd3 Cd 0.128 0.650 0.128
Cd4 Cd 0.206 0.500 0.794
Cd5 Cd 0.206 0.794 0.500
Cd6 Cd 0.350 0.872 0.872
Cd7 Cd 0.500 0.000 0.500
Cd8 Cd 0.500 0.206 0.794
Cd9 Cd 0.500 0.500 0.000
Cd10 Cd 0.500 0.794 0.206
Cd11 Cd 0.650 0.128 0.128
Cd12 Cd 0.794 0.206 0.500
Cd13 Cd 0.794 0.500 0.206
Cd14 Cd 0.872 0.350 0.872
Cd15 Cd 0.872 0.872 0.350
```

Results
DFT total energy in eV per formula unit: -34.65
M_tot in μB/atom: 0.00
ρ in g/cm³: 8.3
Symmetry: R-3m, No. 166
ΔH_f (0 K) in eV per atom: -0.1243

***

Record 8
First-principles (PBE) data for a geometry-optimized PrMg2Ni9 structure, as listed in Alexandria via LeMat-Bulk.

Cell and atoms, written as CIF:
```
data_PrMg2Ni9
_cell_length_a 8.361
_cell_length_b 8.361
_cell_length_c 8.361
_cell_angle_alpha 34.14
_cell_angle_beta 34.14
_cell_angle_gamma 34.14
_symmetry_space_group_name_H-M 'P 1'
_symmetry_Int_Tables_number 1
loop_
_symmetry_equiv_pos_as_xyz
'x,y,z'
loop_
_atom_site_label
_atom_site_type_symbol
_atom_site_fract_x
_atom_site_fract_y
_atom_site_fract_z
Pr1 Pr 0.000 0.000 0.000
Mg1 Mg 0.145 0.145 0.145
Mg2 Mg 0.855 0.855 0.855
Ni1 Ni 0.083 0.587 0.587
Ni2 Ni 0.333 0.333 0.333
Ni3 Ni 0.413 0.413 0.917
Ni4 Ni 0.413 0.917 0.413
Ni5 Ni 0.500 0.500 0.500
Ni6 Ni 0.587 0.083 0.587
Ni7 Ni 0.587 0.587 0.083
Ni8 Ni 0.667 0.667 0.667
Ni9 Ni 0.917 0.413 0.413
```

Results
DFT total energy in eV per formula unit: -62.93
M_tot in μB/atom: 0.05
ρ in g/cm³: 7.3
Symmetry: R-3m, No. 166
ΔH_f (0 K) in eV per atom: -0.2445

***

Record 9
First-principles (PBE) data for a geometry-optimized LaCoH4 structure, as listed in Alexandria via LeMat-Bulk.

Cell and atoms, written as CIF:
```
data_LaCoH4
_cell_length_a 3.409
_cell_length_b 3.409
_cell_length_c 4.557
_cell_angle_alpha 90.00
_cell_angle_beta 90.00
_cell_angle_gamma 90.00
_symmetry_space_group_name_H-M 'P 1'
_symmetry_Int_Tables_number 1
loop_
_symmetry_equiv_pos_as_xyz
'x,y,z'
loop_
_atom_site_label
_atom_site_type_symbol
_atom_site_fract_x
_atom_site_fract_y
_atom_site_fract_z
La1 La 0.000 0.000 0.000
Co1 Co 0.500 0.500 0.500
H1 H 0.000 0.500 0.500
H2 H 0.500 0.000 0.500
H3 H 0.500 0.500 0.164
H4 H 0.500 0.500 0.836
```

Results
DFT total energy in eV per formula unit: -27.55
M_tot in μB/atom: 0.06
ρ in g/cm³: 6.3
Symmetry: P4/mmm, No. 123

***

Record 10
First-principles (PBE) data for a geometry-optimized LaPrDy5 structure, as listed in Alexandria via LeMat-Bulk.

Cell and atoms, written as CIF:
```
data_LaPrDy5
_cell_length_a 6.834
_cell_length_b 6.834
_cell_length_c 12.212
_cell_angle_alpha 106.53
_cell_angle_beta 106.53
_cell_angle_gamma 60.67
_symmetry_space_group_name_H-M 'P 1'
_symmetry_Int_Tables_number 1
loop_
_symmetry_equiv_pos_as_xyz
'x,y,z'
loop_
_atom_site_label
_atom_site_type_symbol
_atom_site_fract_x
_atom_site_fract_y
_atom_site_fract_z
La1 La 0.026 0.974 0.750
La2 La 0.974 0.026 0.250
Pr1 Pr 0.000 0.500 0.000
Pr2 Pr 0.500 0.000 0.500
Dy1 Dy 0.142 0.417 0.746
Dy2 Dy 0.202 0.641 0.501
Dy3 Dy 0.359 0.798 0.999
Dy4 Dy 0.410 0.590 0.250
Dy5 Dy 0.417 0.142 0.246
Dy6 Dy 0.583 0.858 0.754
Dy7 Dy 0.590 0.410 0.750
Dy8 Dy 0.641 0.202 0.001
Dy9 Dy 0.798 0.359 0.499
Dy10 Dy 0.858 0.583 0.254
```

Results
DFT total energy in eV per formula unit: -31.38
M_tot in μB/atom: 0.00
ρ in g/cm³: 7.7
Symmetry: C2/c, No. 15
Energy above the most stable polymorph in this dataset in eV/atom: 0.0000
ΔH_f (0 K) in eV per atom: 0.1917

***

Record 11
First-principles (PBE) data for a geometry-optimized Pm3Sm2HoTm6 structure, as listed in Alexandria via LeMat-Bulk.

Cell and atoms, written as CIF:
```
data_Pm3Sm2HoTm6
_cell_length_a 6.167
_cell_length_b 6.167
_cell_length_c 11.688
_cell_angle_alpha 95.03
_cell_angle_beta 95.03
_cell_angle_gamma 119.98
_symmetry_space_group_name_H-M 'P 1'
_symmetry_Int_Tables_number 1
loop_
_symmetry_equiv_pos_as_xyz
'x,y,z'
loop_
_atom_site_label
_atom_site_type_symbol
_atom_site_fract_x
_atom_site_fract_y
_atom_site_fract_z
Pm1 Pm 0.000 0.000 0.000
Pm2 Pm 0.333 0.667 0.000
Pm3 Pm 0.667 0.333 0.000
Sm1 Sm 0.167 0.833 0.500
Sm2 Sm 0.833 0.167 0.500
Ho1 Ho 0.500 0.500 0.500
Tm1 Tm 0.084 0.417 0.251
Tm2 Tm 0.250 0.250 0.749
Tm3 Tm 0.417 0.084 0.251
Tm4 Tm 0.583 0.916 0.749
Tm5 Tm 0.750 0.750 0.251
Tm6 Tm 0.916 0.583 0.749
```

Results
DFT total energy in eV per formula unit: -54.88
M_tot in μB/atom: 0.00
ρ in g/cm³: 8.4
Symmetry: C2/m, No. 12
ΔH_f (0 K) in eV per atom: 0.0185

***

Record 12
First-principles (PBE) data for a geometry-optimized La8CoAu3I4 structure, as listed in Alexandria via LeMat-Bulk.

Cell and atoms, written as CIF:
```
data_La8CoAu3I4
_cell_length_a 8.793
_cell_length_b 8.793
_cell_length_c 9.609
_cell_angle_alpha 117.68
_cell_angle_beta 117.68
_cell_angle_gamma 59.04
_symmetry_space_group_name_H-M 'P 1'
_symmetry_Int_Tables_number 1
loop_
_symmetry_equiv_pos_as_xyz
'x,y,z'
loop_
_atom_site_label
_atom_site_type_symbol
_atom_site_fract_x
_atom_site_fract_y
_atom_site_fract_z
La1 La 0.218 0.758 0.692
La2 La 0.225 0.225 0.696
La3 La 0.242 0.782 0.308
La4 La 0.265 0.265 0.296
La5 La 0.735 0.735 0.704
La6 La 0.758 0.218 0.692
La7 La 0.775 0.775 0.304
La8 La 0.782 0.242 0.308
Co1 Co 0.000 0.000 0.500
Au1 Au 0.000 0.500 0.500
Au2 Au 0.500 0.000 0.500
Au3 Au 0.500 0.500 0.500
I1 I 0.000 0.000 0.000
I2 I 0.000 0.500 0.000
I3 I 0.500 0.000 0.000
I4 I 0.500 0.500 0.000
```

Results
DFT total energy in eV per formula unit: -76.22
M_tot in μB/atom: 0.00
ρ in g/cm³: 7.0
Symmetry: C2/m, No. 12
Uncorrected formation energy in eV per atom: -0.85